[1]
A geometry-optimized YHf3S structure, computed with PBE.

Unit cell a=5.201 b=5.201 c=5.201 alpha=90.00 beta=90.00 gamma=90.00
Atoms (fractional coordinates):
Hf1 0.500 0.000 0.000
Hf2 0.000 0.500 0.000
Hf3 0.000 0.000 0.500
Y1 0.000 0.000 0.000
S1 0.500 0.500 0.500

Computed properties:
Symmetry = Pm-3m
Polymorph energy (0 for the lowest one) = 2183 meV per atom
ΔE_f (raw) = 1.7409 eV/atom

***

[2]
A geometry-optimized K2SbP structure, computed with PBE.

Unit cell a=5.863 b=5.863 c=5.863 alpha=128.41 beta=128.41 gamma=75.96
Atoms (fractional coordinates):
K1 0.250 0.750 0.500
K2 0.000 0.000 0.000
Sb1 0.750 0.250 0.500
P1 0.500 0.500 0.000

Computed properties:
Symmetry = I-4m2
Polymorph energy (0 for the lowest one) = 442 meV per atom
ΔE_f (raw) = 0.0976 eV/atom